[1]
## Li2Sb2S5 (GGA-PBE)

Data for crystalline Li2Sb2S5 at its relaxed geometry.

Unit cell a=3.742 b=10.030 c=6.470 alpha=99.51 beta=90.00 gamma=100.75
Element x y z (fractional)
Li1 0.811 0.621 0.175
Li2 0.189 0.379 0.825
S1 0.893 0.786 0.512
S2 0.107 0.214 0.488
S3 0.317 0.634 0.946
S4 0.000 0.000 0.000
S5 0.683 0.366 0.054
Sb1 0.584 0.168 0.219
Sb2 0.416 0.832 0.781

Values from the calculation:
- E_tot (eV per atom) = -4.10
- theoretical density (g cm⁻³) = 2.9


[2]
## Li8Sb2S (GGA-PBE)

Data for crystalline Li8Sb2S at its relaxed geometry.

Unit cell a=4.636 b=6.004 c=7.994 alpha=112.06 beta=106.85 gamma=90.00
Element x y z (fractional)
Li1 0.000 0.755 0.000
Li2 0.364 0.111 0.728
Li3 0.636 0.889 0.272
Li4 0.000 0.245 0.000
Li5 0.206 0.206 0.412
Li6 0.636 0.382 0.272
Li7 0.794 0.794 0.588
Li8 0.364 0.618 0.728
Sb1 0.173 0.673 0.345
Sb2 0.827 0.327 0.655
S1 0.500 0.000 0.000

Values from the calculation:
- energy above the most stable polymorph in this dataset (meV/atom) = 0
- E_tot (eV per atom) = -3.29
- theoretical density (g cm⁻³) = 2.8


| no. | formation energy (no corrections) (eV per atom) | total magnetization (μB per formula unit) |
| --- | --- | --- |
| 1 | -0.47 | 0.00 |
| 2 | -0.78 | 0.00 |